1.
A plane-wave DFT calculation with PBE was carried out for LiBBr3 after structural relaxation.

abc: 6.608 6.464 13.151
angles: 90.00 116.41 90.00
Space group P2_1/c (No. 14)
One atom of each set of equivalent atoms:
Li 0.183 0.013 0.157 (multiplicity 4)
B 0.385 0.046 0.942 (multiplicity 4)
Br 0.175 0.686 0.342 (multiplicity 4)
Br 0.183 0.233 0.987 (multiplicity 4)
Br 0.488 0.222 0.840 (multiplicity 4)

The calculation puts the uncorrected formation energy at -0.818 eV/atom. The total magnetic moment is 0.00 μB/f.u. Its energy above the most stable polymorph in this dataset is 0 meV per atom. Its total energy is -3.540 eV per atom. Its density of states at the Fermi level is 0.000 states/eV per atom.


2.
A plane-wave DFT calculation with PBE was carried out for Cs2Cd2OsO6 after structural relaxation.

abc: 6.015 10.082 7.089
angles: 90.00 107.92 90.00
Space group C2/m (No. 12)
One atom of each set of equivalent atoms:
Cs 0.000 0.172 0.000 (multiplicity 4)
Cd 0.000 0.336 0.500 (multiplicity 4)
Os 0.000 0.000 0.500 (multiplicity 2)
O 0.192 0.139 0.660 (multiplicity 8)
O 0.216 0.000 0.343 (multiplicity 4)

The calculation puts the uncorrected formation energy at -1.122 eV/atom. The total magnetic moment is 0.00 μB/f.u. Its total energy is -5.169 eV per atom. Its density of states at the Fermi level is 0.317 states/eV per atom.


3.
A plane-wave DFT calculation with PBE was carried out for HgPdI6 after structural relaxation.

abc: 7.368 7.368 7.665
angles: 90.04 118.67 119.97
Space group P-1 (No. 2)
One atom of each set of equivalent atoms:
Hg 0.000 0.000 0.000 (multiplicity 1)
Pd 0.000 0.500 0.500 (multiplicity 1)
I 0.148 0.422 0.260 (multiplicity 2)
I 0.162 0.274 0.740 (multiplicity 2)
I 0.465 0.887 0.740 (multiplicity 2)

The calculation puts the uncorrected formation energy at -0.050 eV/atom. The total magnetic moment is 0.00 μB/f.u. Its total energy is -1.899 eV per atom. Its density of states at the Fermi level is 0.348 states/eV per atom.


4.
A plane-wave DFT calculation with PBE was carried out for SrSi2Ir after structural relaxation.

abc: 3.228 3.228 7.147
angles: 90.00 90.00 90.00
Space group P4mm (No. 99)
One atom of each set of equivalent atoms:
Sr 0.000 0.000 0.000 (multiplicity 1)
Si 0.000 0.000 0.487 (multiplicity 1)
Si 0.500 0.500 0.685 (multiplicity 1)
Ir 0.500 0.500 0.340 (multiplicity 1)

The calculation puts the uncorrected formation energy at -0.201 eV/atom. The total magnetic moment is 0.00 μB/f.u. Its total energy is -5.548 eV per atom. Its density of states at the Fermi level is 0.379 states/eV per atom.


5.
A plane-wave DFT calculation with PBE was carried out for GaS2 after structural relaxation.

abc: 3.716 5.937 7.568
angles: 102.90 96.25 99.43
Space group P-1 (No. 2)
One atom of each set of equivalent atoms:
Ga 0.205 0.486 0.330 (multiplicity 2)
S 0.155 0.652 0.095 (multiplicity 2)
S 0.346 0.745 0.628 (multiplicity 2)

The calculation puts the uncorrected formation energy at -0.455 eV/atom. The total magnetic moment is 0.00 μB/f.u. Its energy above the most stable polymorph in this dataset is 0 meV per atom. Its total energy is -4.215 eV per atom.


6.
A plane-wave DFT calculation with PBE was carried out for LaIn12Pt6 after structural relaxation.

abc: 12.5370 12.5370 9.4086
angles: 90.00 90.00 120.00
Space group R-3m (No. 166, hexagonal axes)
One atom of each set of equivalent atoms:
La 0.0000 0.0000 0.0000 (multiplicity 3)
In 0.0000 0.3836 0.5000 (multiplicity 18)
In 0.0847 0.1695 0.3222 (multiplicity 18)
Pt 0.0445 0.5222 0.2482 (multiplicity 18)

The formation energy is -394 meV/atom. The total magnetic moment is 0.00 μB/f.u. Its total energy is -4.290 eV per atom. Its density of states at the Fermi level is 0.472 states/eV per atom.


Question: total magnetic moment of number 1 (LiBBr3)?
Answer: 0.00 μB/f.u.


Question: Number 6 is which compound?
Answer: LaIn12Pt6